1.
## AlAg4 (GGA-PBEsol)

Data for a relaxed structure of AlAg4.

abc: 2.8863 2.8863 34.0055
angles: 90.00 90.00 120.00
Last column: nearest neighbours and their distance in Å.
Space group R-3m (No. 166, hexagonal axes)
One atom of each set of equivalent atoms:
1 Al 0.0000 0.0000 0.0000 [3 per cell]  6 Ag 2.73, 6 Al 2.89
2 Ag 0.0000 0.0000 0.2009 [6 per cell]  12 Ag 2.86-2.89
3 Ag 0.0000 0.0000 0.3970 [6 per cell]  3 Al 2.73, 9 Ag 2.87-2.89

formation energy: -0.037 eV/atom

2.
## CuNi2Rh (GGA-PBEsol)

Data for a relaxed structure of CuNi2Rh.

abc: 2.5525 4.1317 4.3637
angles: 90.00 90.00 90.00
Last column: nearest neighbours and their distance in Å.
Space group Pmm2 (No. 25)
One atom of each set of equivalent atoms:
1 Cu 0.0000 0.0000 0.0000 [1 per cell]  8 Ni 2.49-2.56, 2 Cu 2.55, 2 Rh 2.57
2 Ni 0.5000 0.0000 0.5096 [1 per cell]  4 Cu 2.49-2.56, 4 Rh 2.53, 4 Ni 2.53-2.55
3 Ni 0.5000 0.5000 0.8444 [1 per cell]  4 Rh 2.51-2.54, 4 Cu 2.52, 4 Ni 2.53-2.55
4 Rh 0.0000 0.5000 0.3488 [1 per cell]  8 Ni 2.51-2.54, 2 Rh 2.55, 2 Cu 2.57

formation energy: 0.068 eV/atom

3.
## Li2ScSb (GGA-PBEsol)

Data for a relaxed structure of Li2ScSb.

abc: 3.2874 3.2874 28.8366
angles: 90.00 90.00 120.00
Last column: nearest neighbours and their distance in Å.
Space group R3m (No. 160, hexagonal axes)
One atom of each set of equivalent atoms:
1 Li 0.0000 0.0000 0.0000 [3 per cell]  3 Sb 2.92, 3 Li 3.16
2 Li 0.0000 0.0000 0.2455 [3 per cell]  3 Sc 3.14, 9 Li 3.16-3.29
3 Sc 0.0000 0.0000 0.4920 [3 per cell]  3 Sb 3.03, 3 Li 3.14, 6 Sc 3.29
4 Sb 0.0000 0.0000 0.7435 [3 per cell]  3 Li 2.92, 3 Sc 3.03

energy relative to the elements, uncorrected: -0.16 eV/atom

Quick rundown of raw total energy, same order as above: -52.6; -24.5; -47.3 eV/cell
Quick rundown of size of the total moment, same order as above: 0.0; 1.3; 0.6 μB per cell
Quick rundown of DOS at the Fermi energy, same order as above: 5.5; 6.2; 8.9 states/eV per cell